# KBa2W (PBE, optimized geometry)
# Symmetry   No. 10
# Formation enthalpy at 0 K   96 kJ per mole of atoms
# Total DFT energy (no corrections)   -3.48 eV per atom
# Magnetization   2.34 μB per cell
# DOS at the Fermi energy   1.1633 states/eV/atom
# Polymorph energy (0 for the lowest one)   0.0 meV per atom
data_KBa2W
_cell_length_a 3.946
_cell_length_b 3.946
_cell_length_c 12.234
_cell_angle_alpha 71.14
_cell_angle_beta 90.00
_cell_angle_gamma 90.00
_space_group_name_H-M_alt 'P 1'
_space_group_IT_number 1
loop_
_space_group_symop_operation_xyz
'x,y,z'
loop_
_atom_site_label
_atom_site_type_symbol
_atom_site_fract_x
_atom_site_fract_y
_atom_site_fract_z
Ba1 Ba 0.000 0.421 0.579
Ba2 Ba 0.000 0.079 0.921
W1 W 0.500 0.750 0.750
K1 K 0.500 0.250 0.250